# ReAsSe2N (PBE-GGA, relaxed)
# * raw formation energy: 1500 meV per atom
# * energy above the lowest structure with this stoichiometry: 1.038 eV/atom
# * theoretical density: 7.9 g cm⁻³
data_ReAsSe2N
_chemical_formula_sum 'Re1 As1 Se2 N1'
_symmetry_space_group_name_H-M 'P 4/m m m'
_symmetry_Int_Tables_number 123
_symmetry_space_group_name_Hall '-P 4 2'
_cell_length_a 5.092
_cell_length_b 5.092
_cell_length_c 3.506
_cell_angle_alpha 90.00
_cell_angle_beta 90.00
_cell_angle_gamma 90.00
loop_
_atom_site_label
_atom_site_type_symbol
_atom_site_fract_x
_atom_site_fract_y
_atom_site_fract_z
Re1 Re 0.000 0.000 0.000
As1 As 0.500 0.500 0.500
Se1 Se 0.000 0.500 0.500
N1 N 0.500 0.500 0.000